(1)
A relaxed structure of PrDy2. Source: the Alexandria database, functional PBE-GGA. Values from VASP.

* electronic total energy: -13.141 eV per formula unit
* ΔE_f: 0.28 eV per atom
* energy above the lowest structure with this stoichiometry: 283 meV/atom

Cell and atoms, written as Quantum ESPRESSO input:
```
&SYSTEM
  ibrav = 0, nat = 6, ntyp = 2
/
ATOMIC_SPECIES
Dy 162.50 Dy.upf
Pr 140.91 Pr.upf
CELL_PARAMETERS angstrom
6.664 0.000 0.000
3.332 5.771 0.000
3.332 1.924 5.441
ATOMIC_POSITIONS angstrom
Dy 6.664 3.848 0.680
Dy 4.998 4.809 3.401
Dy 6.664 1.924 3.401
Dy 8.330 4.809 3.401
Pr 3.332 1.924 1.360
Pr 0.000 0.000 0.000
```


(2)
A relaxed structure of TlS2IN. Source: the Alexandria database, functional PBE-GGA. Values from VASP.

* electronic total energy: -13.139 eV per formula unit
* energy above the lowest structure with this stoichiometry: 435 meV/atom

Cell and atoms, written as Quantum ESPRESSO input:
```
&SYSTEM
  ibrav = 0, nat = 5, ntyp = 4
/
ATOMIC_SPECIES
N 14.01 N.upf
S 32.06 S.upf
I 126.90 I.upf
Tl 204.38 Tl.upf
CELL_PARAMETERS angstrom
5.324 0.000 0.000
0.000 5.324 0.000
0.000 0.000 4.183
ATOMIC_POSITIONS angstrom
N 0.000 0.000 2.091
S 0.000 2.662 0.000
S 2.662 0.000 0.000
I 2.662 2.662 2.091
Tl 0.000 0.000 0.000
```


(3)
A relaxed structure of LaEr12Sc3. Source: the Alexandria database, functional PBE-GGA. Values from VASP.

* electronic total energy: -77.959 eV per formula unit
* ΔE_f: 0.04 eV per atom

Cell and atoms, written as Quantum ESPRESSO input:
```
&SYSTEM
  ibrav = 0, nat = 16, ntyp = 3
/
ATOMIC_SPECIES
Sc 44.96 Sc.upf
Er 167.26 Er.upf
La 138.91 La.upf
CELL_PARAMETERS angstrom
-4.016 -1.554 2.379
0.989 -4.625 -1.352
10.657 -2.500 16.354
ATOMIC_POSITIONS angstrom
Sc 5.328 -1.250 8.177
Sc 7.950 -1.865 12.201
Sc 2.706 -0.635 4.153
Er 9.743 -4.482 13.516
Er -0.599 -1.108 3.351
Er 4.517 -3.256 5.497
Er 1.213 -3.730 4.697
Er -1.513 -3.090 0.514
Er 4.627 -2.334 11.371
Er 3.815 -4.340 8.690
Er 2.015 -1.721 7.362
Er 6.418 -4.951 12.684
Er 7.240 -2.947 15.381
Er 7.129 -3.869 9.505
Er 1.904 -2.643 1.486
La 0.000 0.000 0.000
```


(4)
A relaxed structure of Li2VH. Source: the Alexandria database, functional PBE-GGA. Values from VASP.

* electronic total energy: -12.230 eV per formula unit
* energy above the lowest structure with this stoichiometry: 549 meV/atom

Cell and atoms, written as Quantum ESPRESSO input:
```
&SYSTEM
  ibrav = 0, nat = 4, ntyp = 3
/
ATOMIC_SPECIES
Li 6.94 Li.upf
H 1.01 H.upf
V 50.94 V.upf
CELL_PARAMETERS angstrom
0.000 3.109 3.109
3.109 0.000 3.109
3.109 3.109 0.000
ATOMIC_POSITIONS angstrom
Li 4.663 4.663 4.663
Li 1.554 1.554 1.554
H 0.000 0.000 0.000
V 3.109 3.109 3.109
```


(5)
A relaxed structure of Nd2Y3Tm. Source: the Alexandria database, functional PBE-GGA. Values from VASP.

* electronic total energy: -31.890 eV per formula unit
* ΔE_f: 0.25 eV per atom
* energy above the lowest structure with this stoichiometry: 254 meV/atom

Cell and atoms, written as Quantum ESPRESSO input:
```
&SYSTEM
  ibrav = 0, nat = 12, ntyp = 3
/
ATOMIC_SPECIES
Y 88.91 Y.upf
Tm 168.93 Tm.upf
Nd 144.24 Nd.upf
CELL_PARAMETERS angstrom
3.400 0.000 0.000
0.000 6.653 0.000
0.000 0.000 17.720
ATOMIC_POSITIONS angstrom
Y 0.000 0.000 0.000
Y 1.700 1.722 3.167
Y 1.700 3.327 8.860
Y 0.000 5.048 5.693
Y 0.000 1.605 12.027
Y 1.700 4.932 14.553
Tm 1.700 3.327 0.000
Tm 0.000 0.000 8.860
Nd 0.000 4.905 11.508
Nd 0.000 1.748 6.212
Nd 1.700 5.075 2.648
Nd 1.700 1.579 15.071
```


(6)
A relaxed structure of Pm2YS2O2. Source: the Alexandria database, functional PBE-GGA. Values from VASP.

* electronic total energy: -50.964 eV per formula unit

Cell and atoms, written as Quantum ESPRESSO input:
```
&SYSTEM
  ibrav = 0, nat = 7, ntyp = 4
/
ATOMIC_SPECIES
Pm 145.00 Pm.upf
O 16.00 O.upf
S 32.06 S.upf
Y 88.91 Y.upf
CELL_PARAMETERS angstrom
4.279 0.000 0.000
0.000 4.279 0.000
-2.140 -2.140 7.472
ATOMIC_POSITIONS angstrom
Pm 0.000 0.000 5.477
Pm 2.140 2.140 1.996
O 0.000 2.140 0.000
O 2.140 0.000 0.000
S 2.140 2.140 4.780
S 0.000 0.000 2.692
Y 0.000 0.000 0.000
```